1.
DFT (PBE) results for an optimized crystal structure of Cr2BiAs2.

a = 5.7167 Å, b = 5.7167 Å, c = 5.7167 Å
α = 134.80°, β = 134.80°, γ = 65.84°
With the nearest neighbours (Å) after each atom.
Sites, in units of the cell vectors:
Cr (0.2500, 0.7500, 0.5000)  4 As 2.45
Cr (0.7500, 0.2500, 0.5000)  4 As 2.45
Bi (0.0000, 0.0000, 0.0000)  8 Cr 3.25, 10 As 3.37-3.49
As (0.3637, 0.3637, 0.0000)  4 Cr 2.45, 1 As 2.62
As (0.6363, 0.6363, 0.0000)  4 Cr 2.45, 1 As 2.62

## Properties
Crystal system ... tetragonal
Space-group type ... I4/mmm, No. 139


2.
DFT (PBE) results for an optimized crystal structure of CrBi2As2.

a = 9.9576 Å, b = 9.9576 Å, c = 9.9576 Å
α = 159.34°, β = 159.34°, γ = 29.38°
With the nearest neighbours (Å) after each atom.
Sites, in units of the cell vectors:
Cr (0.0000, 0.0000, 0.0000)  8 Bi 2.98
Bi (0.4179, 0.4179, 0.0000)  4 Cr 2.98, 1 Bi 3.16
Bi (0.5821, 0.5821, 0.0000)  4 Cr 2.98, 1 Bi 3.16
As (0.2500, 0.7500, 0.5000)  4 As 2.52
As (0.7500, 0.2500, 0.5000)  4 As 2.52

## Properties
Crystal system ... tetragonal
Space-group type ... I4/mmm, No. 139


no.,magnetic moment (Bohr magnetons per cell),total energy (eV/atom)
1,3.81,-6.39
2,0.11,-4.79